LiZn2SnPb after structural relaxation, computed with PBEsol.

abc: 5.0751 5.0751 4.9886
angles: 90.00 90.00 90.00
Fractional positions:
Li (0.0000, 0.0000, 0.0000)
Zn (0.0000, 0.5000, 0.5000)
Zn (0.5000, 0.0000, 0.5000)
Sn (0.0000, 0.0000, 0.5000)
Pb (0.5000, 0.5000, 0.0000)

Values from the calculation:
* DFT formation energy: 0.377 eV per atom
* spin magnetization: 0.00 μB/f.u.
* space-group type: P4/mmm (123)
* density of states at the Fermi level: 0.540 states/eV per atom